Here is a geometry-optimized Li3Sm3Se2O12 structure from the Open Quantum Materials Database. Energies are from GGA-PBE.

Cell: 10.566 10.566 10.566 Å, 109.47 109.47 109.47°
Fractional positions:
Li (0.125, 0.750, 0.875)
Li (0.125, 0.875, 0.250)
Li (0.250, 0.125, 0.875)
Li (0.250, 0.625, 0.375)
Li (0.375, 0.250, 0.625)
Li (0.375, 0.625, 0.750)
Li (0.625, 0.375, 0.250)
Li (0.625, 0.750, 0.375)
Li (0.750, 0.375, 0.625)
Li (0.750, 0.875, 0.125)
Li (0.875, 0.125, 0.750)
Li (0.875, 0.250, 0.125)
Sm (0.125, 0.250, 0.375)
Sm (0.125, 0.375, 0.750)
Sm (0.250, 0.375, 0.125)
Sm (0.250, 0.875, 0.625)
Sm (0.375, 0.125, 0.250)
Sm (0.375, 0.750, 0.125)
Sm (0.625, 0.250, 0.875)
Sm (0.625, 0.875, 0.750)
Sm (0.750, 0.125, 0.375)
Sm (0.750, 0.625, 0.875)
Sm (0.875, 0.625, 0.250)
Sm (0.875, 0.750, 0.625)
Se (0.000, 0.000, 0.000)
Se (0.000, 0.000, 0.500)
Se (0.000, 0.500, 0.000)
Se (0.000, 0.500, 0.500)
Se (0.500, 0.000, 0.000)
Se (0.500, 0.000, 0.500)
Se (0.500, 0.500, 0.000)
Se (0.500, 0.500, 0.500)
O (0.020, 0.187, 0.111)
O (0.020, 0.333, 0.908)
O (0.076, 0.687, 0.667)
O (0.076, 0.889, 0.408)
O (0.092, 0.611, 0.424)
O (0.092, 0.980, 0.667)
O (0.111, 0.020, 0.187)
O (0.111, 0.592, 0.924)
O (0.167, 0.187, 0.576)
O (0.167, 0.480, 0.592)
O (0.187, 0.111, 0.020)
O (0.187, 0.576, 0.167)
O (0.313, 0.333, 0.924)
O (0.313, 0.480, 0.389)
O (0.333, 0.908, 0.020)
O (0.333, 0.924, 0.313)
O (0.389, 0.313, 0.480)
O (0.389, 0.576, 0.908)
O (0.408, 0.076, 0.889)
O (0.408, 0.833, 0.520)
O (0.424, 0.092, 0.611)
O (0.424, 0.833, 0.813)
O (0.480, 0.389, 0.313)
O (0.480, 0.592, 0.167)
O (0.520, 0.408, 0.833)
O (0.520, 0.611, 0.687)
O (0.576, 0.167, 0.187)
O (0.576, 0.908, 0.389)
O (0.592, 0.167, 0.480)
O (0.592, 0.924, 0.111)
O (0.611, 0.424, 0.092)
O (0.611, 0.687, 0.520)
O (0.667, 0.076, 0.687)
O (0.667, 0.092, 0.980)
O (0.687, 0.520, 0.611)
O (0.687, 0.667, 0.076)
O (0.813, 0.424, 0.833)
O (0.813, 0.889, 0.980)
O (0.833, 0.520, 0.408)
O (0.833, 0.813, 0.424)
O (0.889, 0.408, 0.076)
O (0.889, 0.980, 0.813)
O (0.908, 0.020, 0.333)
O (0.908, 0.389, 0.576)
O (0.924, 0.111, 0.592)
O (0.924, 0.313, 0.333)
O (0.980, 0.667, 0.092)
O (0.980, 0.813, 0.889)

Output
Size of the total moment in μB/f.u.: 0.000
Uncorrected energy in eV/atom: -6.4052